# 1
Computed, not measured: crystalline Pr3Nd3MgTe8 at its relaxed geometry at the PBE-GGA level of DFT.

Results
- Crystal system: trigonal
- Raw formation energy: -1.3645 eV/atom

Cell: 8.987 8.986 9.001 Å, 119.94 90.00 120.00°
Fractional positions:
Nd: 0.500 0.500 0.500
Pr: 0.500 0.500 0.000
Te: 0.242 0.002 0.261
Mg: 0.000 0.000 0.500
Te: 0.749 0.498 0.748
Te: 0.251 0.502 0.252
Nd: 0.500 0.000 0.500
Te: 0.759 0.518 0.261
Te: 0.758 0.998 0.739
Te: 0.241 0.998 0.739
Te: 0.241 0.482 0.739
Pr: 0.000 0.500 0.000
Te: 0.759 0.002 0.261
Pr: 0.000 0.000 0.000
Nd: 0.000 0.500 0.500

***

# 2
Computed, not measured: crystalline PrNd2MgTl4 at its relaxed geometry at the PBE-GGA level of DFT.

Results
- Crystal system: trigonal
- Formation energy: -0.326 eV per atom

Cell: 5.375 5.375 9.737 Å, 73.98 73.98 60.00°
Fractional positions:
Tl: 0.876 0.876 0.371
Tl: 0.624 0.624 0.128
Pr: 0.000 0.000 0.000
Nd: 0.759 0.759 0.724
Tl: 0.124 0.124 0.629
Mg: 0.500 0.500 0.500
Tl: 0.376 0.376 0.872
Nd: 0.241 0.241 0.276

***

# 3
Computed, not measured: crystalline PrNdMgTl at its relaxed geometry at the PBE-GGA level of DFT.

Results
- Crystal system: cubic
- Formation energy: -0.262 eV per atom

Cell: 5.525 5.525 5.525 Å, 60.00 60.00 60.00°
Fractional positions:
Nd: 0.750 0.750 0.750
Mg: 0.500 0.500 0.500
Tl: 0.000 0.000 0.000
Pr: 0.250 0.250 0.250

***

# 4
Computed, not measured: crystalline PrNd6Tm2Mg at its relaxed geometry at the PBE-GGA level of DFT.

Results
- Crystal system: monoclinic
- Formation energy: 0.104 eV per atom

Cell: 9.536 8.631 8.631 Å, 106.13 96.56 96.56°
Fractional positions:
Nd: 0.926 0.921 0.261
Tm: 0.594 0.201 0.270
Nd: 0.574 0.739 0.079
Nd: 0.671 0.966 0.537
Tm: 0.406 0.799 0.730
Pr: 0.250 0.937 0.063
Nd: 0.329 0.034 0.463
Nd: 0.904 0.328 0.562
Mg: 0.250 0.402 0.598
Nd: 0.596 0.438 0.672
Nd: 0.171 0.537 0.966
Tm: 0.094 0.270 0.201
Pr: 0.750 0.063 0.937
Tm: 0.906 0.730 0.799
Nd: 0.404 0.562 0.328
Nd: 0.074 0.079 0.739
Nd: 0.829 0.463 0.034
Nd: 0.426 0.261 0.921
Nd: 0.096 0.672 0.438
Mg: 0.750 0.598 0.402

***

# 5
Computed, not measured: crystalline Pr2Nd4TmMg at its relaxed geometry at the PBE-GGA level of DFT.

Results
- Crystal system: tetragonal
- Formation energy: 0.008 eV per atom

Cell: 5.087 5.086 11.458 Å, 63.65 90.00 90.00°
Fractional positions:
Nd: 0.000 0.749 0.751
Nd: 0.000 0.251 0.249
Nd: 0.500 0.751 0.249
Tm: 0.000 0.500 0.500
Pr: 0.500 0.000 0.500
Pr: 0.000 0.000 0.000
Nd: 0.500 0.249 0.751
Mg: 0.500 0.500 0.000

***

# 6
Computed, not measured: crystalline Pr2Nd6TmMg at its relaxed geometry at the PBE-GGA level of DFT.

Results
- Crystal system: monoclinic
- Formation energy: 0.106 eV per atom

Cell: 9.931 8.805 8.805 Å, 115.86 95.51 95.51°
Fractional positions:
Nd: 0.807 0.425 0.996
Pr: 0.552 0.199 0.290
Nd: 0.115 0.701 0.504
Nd: 0.693 0.004 0.575
Tm: 0.750 0.014 0.986
Nd: 0.307 0.996 0.425
Nd: 0.449 0.251 0.878
Nd: 0.051 0.122 0.749
Nd: 0.615 0.504 0.701
Mg: 0.750 0.596 0.404
Nd: 0.193 0.575 0.004
Nd: 0.551 0.749 0.122
Pr: 0.948 0.710 0.801
Pr: 0.052 0.290 0.199
Tm: 0.250 0.986 0.014
Nd: 0.885 0.299 0.496
Nd: 0.949 0.878 0.251
Mg: 0.250 0.404 0.596
Pr: 0.448 0.801 0.710
Nd: 0.385 0.496 0.299

***

# 7
Computed, not measured: crystalline Pr2Nd2Tm2Mg at its relaxed geometry at the PBE-GGA level of DFT.

Results
- Crystal system: monoclinic
- Formation energy: 0.077 eV per atom

Cell: 3.717 6.451 11.739 Å, 118.74 90.00 106.74°
Fractional positions:
Tm: 0.740 0.481 0.618
Pr: 0.476 0.952 0.259
Tm: 0.260 0.519 0.382
Nd: 0.681 0.362 0.091
Nd: 0.319 0.638 0.909
Mg: 0.000 0.000 0.500
Pr: 0.524 0.048 0.741

***

# 8
Computed, not measured: crystalline Pr6Nd2TmMg at its relaxed geometry at the PBE-GGA level of DFT.

Results
- Crystal system: monoclinic
- Formation energy: 0.104 eV per atom

Cell: 9.552 8.725 8.725 Å, 105.61 95.74 95.74°
Fractional positions:
Pr: 0.925 0.921 0.256
Pr: 0.324 0.031 0.462
Nd: 0.910 0.734 0.800
Pr: 0.905 0.329 0.565
Pr: 0.425 0.256 0.921
Pr: 0.405 0.565 0.329
Tm: 0.250 0.937 0.063
Pr: 0.676 0.969 0.538
Nd: 0.590 0.200 0.266
Pr: 0.176 0.538 0.969
Pr: 0.075 0.079 0.744
Mg: 0.250 0.402 0.598
Pr: 0.824 0.462 0.031
Pr: 0.595 0.435 0.671
Tm: 0.750 0.063 0.937
Mg: 0.750 0.598 0.402
Nd: 0.410 0.800 0.734
Pr: 0.575 0.744 0.079
Pr: 0.095 0.671 0.435
Nd: 0.090 0.266 0.200

***

# 9
Computed, not measured: crystalline Pr4Nd2YMg at its relaxed geometry at the PBE-GGA level of DFT.

Results
- Crystal system: tetragonal
- Formation energy: 0.003 eV per atom

Cell: 5.126 5.127 11.484 Å, 63.48 90.00 90.00°
Fractional positions:
Pr: 0.500 0.753 0.247
Y: 0.000 0.500 0.500
Pr: 0.000 0.746 0.753
Nd: 0.000 0.000 0.000
Nd: 0.500 0.000 0.500
Pr: 0.500 0.247 0.753
Pr: 0.000 0.254 0.247
Mg: 0.500 0.500 0.000

***

# 10
Computed, not measured: crystalline Pr6Nd2Y3Mg at its relaxed geometry at the PBE-GGA level of DFT.

Results
- Crystal system: monoclinic
- Formation energy: 0.008 eV per atom

Cell: 6.313 6.313 11.986 Å, 95.04 95.04 120.03°
Fractional positions:
Y: 0.500 0.500 0.500
Pr: 0.083 0.414 0.251
Pr: 0.586 0.917 0.749
Pr: 0.248 0.248 0.748
Pr: 0.752 0.752 0.252
Nd: 0.667 0.333 0.000
Y: 0.166 0.834 0.500
Nd: 0.333 0.667 0.000
Pr: 0.414 0.083 0.251
Y: 0.834 0.166 0.500
Pr: 0.917 0.586 0.749
Mg: 0.000 0.000 0.000

***

# 11
Computed, not measured: crystalline Pr3Nd6Y2Mg at its relaxed geometry at the PBE-GGA level of DFT.

Results
- Crystal system: monoclinic
- Formation energy: 0.026 eV per atom

Cell: 6.331 6.331 11.996 Å, 95.09 95.09 120.10°
Fractional positions:
Y: 0.334 0.666 0.000
Nd: 0.411 0.080 0.244
Y: 0.666 0.334 0.000
Nd: 0.589 0.920 0.756
Nd: 0.080 0.411 0.244
Nd: 0.920 0.589 0.756
Pr: 0.500 0.500 0.500
Nd: 0.251 0.251 0.755
Pr: 0.833 0.167 0.500
Mg: 0.000 0.000 0.000
Nd: 0.749 0.749 0.245
Pr: 0.167 0.833 0.500

***

# 12
Computed, not measured: crystalline Pr2Nd4YMg at its relaxed geometry at the PBE-GGA level of DFT.

Results
- Crystal system: tetragonal
- Formation energy: 0.007 eV per atom

Cell: 5.100 5.101 11.505 Å, 63.67 90.00 90.00°
Fractional positions:
Nd: 0.000 0.747 0.753
Nd: 0.500 0.247 0.753
Mg: 0.500 0.500 0.000
Nd: 0.000 0.253 0.247
Pr: 0.000 0.000 0.000
Nd: 0.500 0.753 0.247
Pr: 0.500 0.000 0.500
Y: 0.000 0.500 0.500

***

Values of total magnetization, in order: 0.000; 0.000; 0.000; 0.000; 0.000; 0.000; 0.000; 0.000; 0.000; 0.000; 0.000; 0.000, all in μB/f.u..
Values of energy, in order: -75.838; -27.986; -14.554; -85.759; -34.633; -86.341; -29.095; -86.471; -36.690; -59.099; -57.155; -36.629, all in eV/cell.